Entry 1:
Below is a relaxed La2MoAs crystal, with properties calculated at the GGA-PBEsol level.

It has space group Imm2 (No. 44), with a = 3.6164 Å, b = 4.5573 Å, c = 11.7251 Å, α = 90.00°, β = 90.00° and γ = 90.00°. The inequivalent atoms are La at (0.0000, 0.0000, 0.0000), La at (0.0000, 0.5000, 0.2298), Mo at (0.0000, 0.0000, 0.4628) and As at (0.0000, 0.5000, 0.8104).

For the formation energy, the calculation gives -0.30 eV/atom. The calculation puts the volume at 24.2 A^3/atom. The total magnetization is 0.00 μB per formula unit.

=====

Entry 2:
Below is a relaxed LaMo2As crystal, with properties calculated at the GGA-PBEsol level.

It has space group I-4m2 (No. 119), with a = 4.5381 Å, b = 4.5381 Å, c = 7.2028 Å, α = 90.00°, β = 90.00° and γ = 90.00°. The inequivalent atoms are La at (0.0000, 0.0000, 0.0000), Mo at (0.0000, 0.0000, 0.5000), Mo at (0.0000, 0.5000, 0.2500) and As at (0.0000, 0.5000, 0.7500).

For the formation energy, the calculation gives 0.31 eV/atom. The calculation puts the volume at 18.5 A^3/atom. The total magnetization is 0.00 μB per formula unit.

=====

Entry 3:
Below is a relaxed LaAsN3 crystal, with properties calculated at the GGA-PBEsol level.

It has space group Pm-3m (No. 221), with a = 3.8680 Å, b = 3.8680 Å, c = 3.8680 Å, α = 90.00°, β = 90.00° and γ = 90.00°. The inequivalent atoms are La at (0.0000, 0.0000, 0.0000), As at (0.5000, 0.5000, 0.5000) and N at (0.0000, 0.5000, 0.5000).

The calculation puts the volume at 11.6 A^3/atom. The total magnetization is 0.00 μB per formula unit. The formation energy without anion corrections is -182.3 meV/atom.

=====

Entry 4:
Below is a relaxed LaNi2AsN crystal, with properties calculated at the GGA-PBEsol level.

It has space group Cmcm (No. 63), with a = 3.6729 Å, b = 11.2094 Å, c = 6.8728 Å, α = 90.00°, β = 90.00° and γ = 90.00°. The inequivalent atoms are La at (0.0000, 0.0388, 0.2500), Ni at (0.0000, 0.3320, 0.0531), As at (0.0000, 0.2318, 0.7500) and N at (0.0000, 0.5000, 0.0000).

The calculation puts the volume at 14.1 A^3/atom. The total magnetization is 0.00 μB per formula unit. The formation energy without anion corrections is -845.8 meV/atom.